(1)
! NdY2Pt PBE-GGA optimized geometry; values from VASP
&SYSTEM
  ibrav = 0, nat = 4, ntyp = 3
/
ATOMIC_SPECIES
Nd 144.24 Nd.upf
Y 88.91 Y.upf
Pt 195.08 Pt.upf
CELL_PARAMETERS angstrom
1.931 1.115 9.565
-1.931 1.115 9.565
0.000 -2.230 9.565
ATOMIC_POSITIONS crystal
Nd 0.000 0.000 0.000
Y 0.227 0.227 0.227
Y 0.773 0.773 0.773
Pt 0.500 0.500 0.500
! ΔH_f (0 K) in kcal/mol of atoms: -11.5
! Electronic total energy in eV per atom: -6.432
! N(E_F) in states/eV/cell: 5.61
! Offset from the most stable computed form in meV/atom: 182.9
! Space group: No. 166

(2)
! LiAsSe3 PBE-GGA optimized geometry; values from VASP
&SYSTEM
  ibrav = 0, nat = 5, ntyp = 3
/
ATOMIC_SPECIES
Li 6.94 Li.upf
As 74.92 As.upf
Se 78.96 Se.upf
CELL_PARAMETERS angstrom
4.663 0.000 0.000
0.000 4.663 0.000
0.000 0.000 4.663
ATOMIC_POSITIONS crystal
Li 0.000 0.000 0.000
As 0.500 0.500 0.500
Se 0.000 0.000 0.500
Se 0.000 0.500 0.000
Se 0.500 0.000 0.000
! Energy relative to the elements, uncorrected in meV per atom: 419
! Electronic total energy in eV per atom: -2.984
! N(E_F) in states/eV/cell: 3.69
! Offset from the most stable computed form in meV/atom: 712.9
! Space group: No. 221

(3)
! RbBeP2S8 PBE-GGA optimized geometry; values from VASP
&SYSTEM
  ibrav = 0, nat = 12, ntyp = 4
/
ATOMIC_SPECIES
Rb 85.47 Rb.upf
Be 9.01 Be.upf
P 30.97 P.upf
S 32.06 S.upf
CELL_PARAMETERS angstrom
5.440 0.000 0.000
-2.720 4.711 0.000
0.000 0.000 11.211
ATOMIC_POSITIONS crystal
Rb 0.000 0.000 0.000
Be 0.000 0.000 0.500
P 0.333 0.667 0.704
P 0.667 0.333 0.296
S 0.025 0.695 0.364
S 0.305 0.330 0.364
S 0.330 0.025 0.636
S 0.333 0.667 0.880
S 0.667 0.333 0.120
S 0.670 0.975 0.364
S 0.695 0.670 0.636
S 0.975 0.305 0.636
! Energy relative to the elements, uncorrected in meV per atom: -198
! Electronic total energy in eV per atom: -4.243
! N(E_F) in states/eV/cell: 6.22
! Space group: No. 147

(4)
! Ti2SiCl PBE-GGA optimized geometry; values from VASP
&SYSTEM
  ibrav = 0, nat = 4, ntyp = 3
/
ATOMIC_SPECIES
Ti 47.87 Ti.upf
Si 28.09 Si.upf
Cl 35.45 Cl.upf
CELL_PARAMETERS angstrom
0.000 3.164 3.164
3.164 0.000 3.164
3.164 3.164 0.000
ATOMIC_POSITIONS crystal
Ti 0.250 0.250 0.250
Ti 0.750 0.750 0.750
Si 0.000 0.000 0.000
Cl 0.500 0.500 0.500
! Energy relative to the elements, uncorrected in meV per atom: -305
! Electronic total energy in eV per atom: -6.069
! N(E_F) in states/eV/cell: 3.30
! Offset from the most stable computed form in meV/atom: 0.0
! Space group: No. 225

(5)
! Ba2H4Ir PBE-GGA optimized geometry; values from VASP
&SYSTEM
  ibrav = 0, nat = 7, ntyp = 3
/
ATOMIC_SPECIES
Ba 137.33 Ba.upf
H 1.01 H.upf
Ir 192.22 Ir.upf
CELL_PARAMETERS angstrom
-2.786 2.786 4.080
2.786 -2.786 4.080
2.786 2.786 -4.080
ATOMIC_POSITIONS crystal
Ba 0.250 0.750 0.500
Ba 0.750 0.250 0.500
H 0.216 0.216 0.433
H 0.216 0.784 0.000
H 0.784 0.216 0.000
H 0.784 0.784 0.567
Ir 0.000 0.000 0.000
! Electronic total energy in eV per atom: -4.275
! N(E_F) in states/eV/cell: 1.93
! Offset from the most stable computed form in meV/atom: 0.0
! Space group: No. 139

(6)
! LiSi2Rh PBE-GGA optimized geometry; values from VASP
&SYSTEM
  ibrav = 0, nat = 4, ntyp = 3
/
ATOMIC_SPECIES
Li 6.94 Li.upf
Si 28.09 Si.upf
Rh 102.91 Rh.upf
CELL_PARAMETERS angstrom
3.696 0.000 0.000
0.000 3.696 0.000
0.000 0.000 3.741
ATOMIC_POSITIONS crystal
Li 0.000 0.000 0.000
Si 0.000 0.500 0.500
Si 0.500 0.000 0.500
Rh 0.500 0.500 0.000
! Energy relative to the elements, uncorrected in meV per atom: -341
! Electronic total energy in eV per atom: -5.369
! N(E_F) in states/eV/cell: 1.55
! Offset from the most stable computed form in meV/atom: 150.2
! Space group: No. 123

(7)
! YMnP2 PBE-GGA optimized geometry; values from VASP
&SYSTEM
  ibrav = 0, nat = 4, ntyp = 3
/
ATOMIC_SPECIES
Y 88.91 Y.upf
Mn 54.94 Mn.upf
P 30.97 P.upf
CELL_PARAMETERS angstrom
-1.634 1.740 6.061
1.634 -1.740 6.061
1.634 1.740 -6.061
ATOMIC_POSITIONS crystal
Y 0.000 0.000 0.000
Mn 0.248 0.748 0.500
P 0.383 0.383 0.000
P 0.682 0.182 0.500
! ΔH_f (0 K) in kcal/mol of atoms: -14.3
! Electronic total energy in eV per atom: -7.234
! N(E_F) in states/eV/cell: 1.89
! Offset from the most stable computed form in meV/atom: 207.1
! Space group: No. 44

(8)
! Ce3MnHg PBE-GGA optimized geometry; values from VASP
&SYSTEM
  ibrav = 0, nat = 10, ntyp = 3
/
ATOMIC_SPECIES
Ce 140.12 Ce.upf
Mn 54.94 Mn.upf
Hg 200.59 Hg.upf
CELL_PARAMETERS angstrom
4.988 0.000 0.000
0.002 6.587 0.000
0.001 0.224 7.452
ATOMIC_POSITIONS crystal
Ce 0.000 0.000 0.000
Ce 0.000 0.173 0.531
Ce 0.000 0.575 0.938
Ce 0.500 0.405 0.262
Ce 0.500 0.807 0.669
Ce 0.500 0.980 0.200
Mn 0.000 0.299 0.263
Mn 0.501 0.681 0.937
Hg 0.000 0.701 0.392
Hg 0.500 0.280 0.808
! ΔH_f (0 K) in kcal/mol of atoms: -1.6
! Electronic total energy in eV per atom: -5.523
! N(E_F) in states/eV/cell: 18.20
! Offset from the most stable computed form in meV/atom: 22.2
! Space group: No. 1

(9)
! PmPdRuPb PBE-GGA optimized geometry; values from VASP
&SYSTEM
  ibrav = 0, nat = 4, ntyp = 4
/
ATOMIC_SPECIES
Pm 145.00 Pm.upf
Pd 106.42 Pd.upf
Ru 101.07 Ru.upf
Pb 207.20 Pb.upf
CELL_PARAMETERS angstrom
0.000 3.441 3.441
3.441 0.000 3.441
3.441 3.441 0.000
ATOMIC_POSITIONS crystal
Pm 0.000 0.000 0.000
Pd 0.250 0.250 0.250
Ru 0.750 0.750 0.750
Pb 0.500 0.500 0.500
! ΔH_f (0 K) in kcal/mol of atoms: -5.9
! Electronic total energy in eV per atom: -5.986
! N(E_F) in states/eV/cell: 3.71
! Space group: No. 216

(10)
! BaTaOs2 PBE-GGA optimized geometry; values from VASP
&SYSTEM
  ibrav = 0, nat = 4, ntyp = 3
/
ATOMIC_SPECIES
Ba 137.33 Ba.upf
Ta 180.95 Ta.upf
Os 190.23 Os.upf
CELL_PARAMETERS angstrom
2.944 0.000 0.000
0.000 3.769 0.000
0.000 0.000 8.062
ATOMIC_POSITIONS crystal
Ba 0.000 0.000 0.000
Ta 0.500 0.500 0.638
Os 0.000 0.000 0.458
Os 0.500 0.500 0.323
! ΔH_f (0 K) in kcal/mol of atoms: 14.5
! Electronic total energy in eV per atom: -8.431
! N(E_F) in states/eV/cell: 4.45
! Offset from the most stable computed form in meV/atom: 274.4
! Space group: No. 25

(11)
! Pr2SiPd4Au2 PBE-GGA optimized geometry; values from VASP
&SYSTEM
  ibrav = 0, nat = 9, ntyp = 4
/
ATOMIC_SPECIES
Pr 140.91 Pr.upf
Si 28.09 Si.upf
Pd 106.42 Pd.upf
Au 196.97 Au.upf
CELL_PARAMETERS angstrom
-3.133 3.133 4.565
3.133 -3.133 4.565
3.133 3.133 -4.565
ATOMIC_POSITIONS crystal
Pr 0.250 0.750 0.500
Pr 0.750 0.250 0.500
Si 0.000 0.000 0.000
Pd 0.269 0.269 0.538
Pd 0.269 0.731 0.000
Pd 0.731 0.269 0.000
Pd 0.731 0.731 0.462
Au 0.277 0.277 0.000
Au 0.723 0.723 0.000
! Energy relative to the elements, uncorrected in meV per atom: -707
! Electronic total energy in eV per atom: -5.408
! N(E_F) in states/eV/cell: 3.74
! Space group: No. 139

(12)
! Sc3VNi PBE-GGA optimized geometry; values from VASP
&SYSTEM
  ibrav = 0, nat = 5, ntyp = 3
/
ATOMIC_SPECIES
Sc 44.96 Sc.upf
V 50.94 V.upf
Ni 58.69 Ni.upf
CELL_PARAMETERS angstrom
4.846 0.000 0.000
0.000 4.846 0.000
0.000 0.000 4.846
ATOMIC_POSITIONS crystal
Sc 0.000 0.000 0.500
Sc 0.000 0.500 0.000
Sc 0.500 0.000 0.000
V 0.500 0.500 0.500
Ni 0.000 0.000 0.000
! ΔH_f (0 K) in kcal/mol of atoms: 6.7
! Electronic total energy in eV per atom: -6.489
! N(E_F) in states/eV/cell: 7.25
! Offset from the most stable computed form in meV/atom: 0.0
! Space group: No. 221

(13)
! BPb2Se PBE-GGA optimized geometry; values from VASP
&SYSTEM
  ibrav = 0, nat = 8, ntyp = 3
/
ATOMIC_SPECIES
B 10.81 B.upf
Pb 207.20 Pb.upf
Se 78.96 Se.upf
CELL_PARAMETERS angstrom
-3.105 3.105 5.852
3.105 -3.105 5.852
3.105 3.105 -5.852
ATOMIC_POSITIONS crystal
B 0.000 0.000 0.000
B 0.750 0.250 0.500
Pb 0.053 0.625 0.928
Pb 0.375 0.303 0.428
Pb 0.697 0.125 0.072
Pb 0.875 0.947 0.572
Se 0.250 0.750 0.500
Se 0.500 0.500 0.000
! Energy relative to the elements, uncorrected in meV per atom: 462
! Electronic total energy in eV per atom: -3.933
! N(E_F) in states/eV/cell: 5.15
! Offset from the most stable computed form in meV/atom: 0.0
! Space group: No. 122

(14)
! AgHgTe2 PBE-GGA optimized geometry; values from VASP
&SYSTEM
  ibrav = 0, nat = 4, ntyp = 3
/
ATOMIC_SPECIES
Ag 107.87 Ag.upf
Hg 200.59 Hg.upf
Te 127.60 Te.upf
CELL_PARAMETERS angstrom
2.122 1.225 7.088
-2.122 1.225 7.088
0.000 -2.451 7.088
ATOMIC_POSITIONS crystal
Ag 0.000 0.000 0.000
Hg 0.169 0.169 0.169
Te 0.409 0.409 0.409
Te 0.594 0.594 0.594
! Energy relative to the elements, uncorrected in meV per atom: 66
! Electronic total energy in eV per atom: -2.293
! N(E_F) in states/eV/cell: 2.81
! Space group: No. 160

(15)
! KAlHg2 PBE-GGA optimized geometry; values from VASP
&SYSTEM
  ibrav = 0, nat = 4, ntyp = 3
/
ATOMIC_SPECIES
K 39.10 K.upf
Al 26.98 Al.upf
Hg 200.59 Hg.upf
CELL_PARAMETERS angstrom
3.680 0.000 0.000
0.000 5.365 0.000
0.000 0.000 5.789
ATOMIC_POSITIONS crystal
K 0.000 0.000 0.000
Al 0.500 0.500 0.667
Hg 0.500 0.000 0.517
Hg 0.500 0.500 0.181
! ΔH_f (0 K) in kcal/mol of atoms: 0.4
! Electronic total energy in eV per atom: -1.343
! N(E_F) in states/eV/cell: 1.44
! Offset from the most stable computed form in meV/atom: 75.1
! Space group: No. 25

(16)
! CoIr2Os PBE-GGA optimized geometry; values from VASP
&SYSTEM
  ibrav = 0, nat = 4, ntyp = 3
/
ATOMIC_SPECIES
Co 58.93 Co.upf
Ir 192.22 Ir.upf
Os 190.23 Os.upf
CELL_PARAMETERS angstrom
2.676 -3.779 0.000
2.676 3.779 0.000
0.000 0.000 2.697
ATOMIC_POSITIONS crystal
Co 0.000 0.000 0.000
Ir 0.000 0.500 0.500
Ir 0.500 0.000 0.500
Os 0.500 0.500 0.000
! ΔH_f (0 K) in kcal/mol of atoms: 1.8
! Electronic total energy in eV per atom: -8.937
! N(E_F) in states/eV/cell: 4.37
! Offset from the most stable computed form in meV/atom: 58.0
! Space group: No. 65

(17)
! La4Ge2BrCl PBE-GGA optimized geometry; values from VASP
&SYSTEM
  ibrav = 0, nat = 8, ntyp = 4
/
ATOMIC_SPECIES
La 138.91 La.upf
Ge 72.64 Ge.upf
Br 79.90 Br.upf
Cl 35.45 Cl.upf
CELL_PARAMETERS angstrom
-3.082 3.082 6.081
3.082 -3.082 6.081
3.082 3.082 -6.081
ATOMIC_POSITIONS crystal
La 0.000 0.500 0.500
La 0.246 0.246 0.000
La 0.500 0.000 0.500
La 0.754 0.754 0.000
Ge 0.250 0.750 0.500
Ge 0.750 0.250 0.500
Br 0.500 0.500 0.000
Cl 0.000 0.000 0.000
! Energy relative to the elements, uncorrected in meV per atom: -1255
! Electronic total energy in eV per atom: -5.313
! N(E_F) in states/eV/cell: 4.85
! Space group: No. 139

(18)
! Sc2AgW PBE-GGA optimized geometry; values from VASP
&SYSTEM
  ibrav = 0, nat = 4, ntyp = 3
/
ATOMIC_SPECIES
Sc 44.96 Sc.upf
Ag 107.87 Ag.upf
W 183.84 W.upf
CELL_PARAMETERS angstrom
3.125 0.000 0.000
0.000 3.340 0.000
0.000 0.000 7.451
ATOMIC_POSITIONS crystal
Sc 0.000 0.000 0.232
Sc 0.000 0.000 0.768
Ag 0.500 0.500 0.500
W 0.500 0.500 0.000
! ΔH_f (0 K) in kcal/mol of atoms: 1.2
! Electronic total energy in eV per atom: -7.065
! N(E_F) in states/eV/cell: 4.24
! Offset from the most stable computed form in meV/atom: 0.0
! Space group: No. 47

(19)
! AlZnP2Br PBE-GGA optimized geometry; values from VASP
&SYSTEM
  ibrav = 0, nat = 5, ntyp = 4
/
ATOMIC_SPECIES
Al 26.98 Al.upf
Zn 65.41 Zn.upf
P 30.97 P.upf
Br 79.90 Br.upf
CELL_PARAMETERS angstrom
4.586 0.000 0.000
0.000 4.586 0.000
0.000 0.000 5.801
ATOMIC_POSITIONS crystal
Al 0.000 0.000 0.000
Zn 0.500 0.500 0.500
P 0.000 0.500 0.500
P 0.500 0.000 0.500
Br 0.500 0.500 0.000
! Energy relative to the elements, uncorrected in meV per atom: 692
! Electronic total energy in eV per atom: -2.810
! N(E_F) in states/eV/cell: 3.14
! Offset from the most stable computed form in meV/atom: 99.5
! Space group: No. 123

(20)
! Al2TcMo PBE-GGA optimized geometry; values from VASP
&SYSTEM
  ibrav = 0, nat = 8, ntyp = 3
/
ATOMIC_SPECIES
Al 26.98 Al.upf
Tc 98.00 Tc.upf
Mo 95.94 Mo.upf
CELL_PARAMETERS angstrom
-3.436 3.436 2.708
3.436 -3.436 2.708
3.436 3.436 -2.708
ATOMIC_POSITIONS crystal
Al 0.115 0.625 0.990
Al 0.375 0.365 0.490
Al 0.635 0.125 0.010
Al 0.875 0.885 0.510
Tc 0.000 0.000 0.000
Tc 0.750 0.250 0.500
Mo 0.250 0.750 0.500
Mo 0.500 0.500 0.000
! ΔH_f (0 K) in kcal/mol of atoms: 7.9
! Electronic total energy in eV per atom: -6.827
! N(E_F) in states/eV/cell: 5.41
! Offset from the most stable computed form in meV/atom: 704.6
! Space group: No. 122

(21)
! Nb5B2As PBE-GGA optimized geometry; values from VASP
&SYSTEM
  ibrav = 0, nat = 16, ntyp = 3
/
ATOMIC_SPECIES
Nb 92.91 Nb.upf
B 10.81 B.upf
As 74.92 As.upf
CELL_PARAMETERS angstrom
-3.148 3.148 5.860
3.148 -3.148 5.860
3.148 3.148 -5.860
ATOMIC_POSITIONS crystal
Nb 0.000 0.000 0.000
Nb 0.029 0.529 0.833
Nb 0.196 0.029 0.500
Nb 0.304 0.804 0.833
Nb 0.471 0.304 0.500
Nb 0.500 0.500 0.000
Nb 0.529 0.696 0.500
Nb 0.696 0.196 0.167
Nb 0.804 0.971 0.500
Nb 0.971 0.471 0.167
B 0.115 0.385 0.500
B 0.385 0.885 0.270
B 0.615 0.115 0.730
B 0.885 0.615 0.500
As 0.250 0.250 0.000
As 0.750 0.750 0.000
! ΔH_f (0 K) in kcal/mol of atoms: -15.6
! Electronic total energy in eV per atom: -9.219
! N(E_F) in states/eV/cell: 4.48
! Space group: No. 140

(22)
! NdGdNiAu PBE-GGA optimized geometry; values from VASP
&SYSTEM
  ibrav = 0, nat = 4, ntyp = 4
/
ATOMIC_SPECIES
Nd 144.24 Nd.upf
Gd 157.25 Gd.upf
Ni 58.69 Ni.upf
Au 196.97 Au.upf
CELL_PARAMETERS angstrom
0.000 3.585 3.585
3.585 0.000 3.585
3.585 3.585 0.000
ATOMIC_POSITIONS crystal
Nd 0.000 0.000 0.000
Gd 0.500 0.500 0.500
Ni 0.250 0.250 0.250
Au 0.750 0.750 0.750
! ΔH_f (0 K) in kcal/mol of atoms: -11.6
! Electronic total energy in eV per atom: -7.481
! N(E_F) in states/eV/cell: 2.73
! Space group: No. 216

(23)
! BaLaCrS2 PBE-GGA optimized geometry; values from VASP
&SYSTEM
  ibrav = 0, nat = 5, ntyp = 4
/
ATOMIC_SPECIES
Ba 137.33 Ba.upf
La 138.91 La.upf
Cr 52.00 Cr.upf
S 32.06 S.upf
CELL_PARAMETERS angstrom
4.914 0.000 0.000
0.000 4.914 0.000
0.000 0.000 5.090
ATOMIC_POSITIONS crystal
Ba 0.000 0.000 0.000
La 0.500 0.500 0.000
Cr 0.000 0.000 0.500
S 0.000 0.500 0.500
S 0.500 0.000 0.500
! Energy relative to the elements, uncorrected in meV per atom: -209
! Electronic total energy in eV per atom: -5.155
! N(E_F) in states/eV/cell: 4.13
! Space group: No. 123

(24)
! La2InCu4Sn3 PBE-GGA optimized geometry; values from VASP
&SYSTEM
  ibrav = 0, nat = 10, ntyp = 4
/
ATOMIC_SPECIES
La 138.91 La.upf
In 114.82 In.upf
Cu 63.55 Cu.upf
Sn 118.71 Sn.upf
CELL_PARAMETERS angstrom
4.484 0.000 0.000
0.000 4.484 0.000
0.000 0.000 10.852
ATOMIC_POSITIONS crystal
La 0.000 0.500 0.238
La 0.500 0.000 0.762
In 0.000 0.000 0.500
Cu 0.000 0.000 0.000
Cu 0.000 0.500 0.638
Cu 0.500 0.000 0.362
Cu 0.500 0.500 0.000
Sn 0.000 0.500 0.873
Sn 0.500 0.000 0.127
Sn 0.500 0.500 0.500
! ΔH_f (0 K) in kcal/mol of atoms: -10.4
! Electronic total energy in eV per atom: -4.549
! N(E_F) in states/eV/cell: 5.40
! Space group: No. 115

(25)
! CeGeH PBE-GGA optimized geometry; values from VASP
&SYSTEM
  ibrav = 0, nat = 3, ntyp = 3
/
ATOMIC_SPECIES
Ce 140.12 Ce.upf
Ge 72.64 Ge.upf
H 1.01 H.upf
CELL_PARAMETERS angstrom
3.841 0.000 0.000
-1.921 3.326 0.000
0.000 0.000 4.328
ATOMIC_POSITIONS crystal
Ce 0.000 0.000 0.000
Ge 0.667 0.333 0.500
H 0.333 0.667 0.000
! Electronic total energy in eV per atom: -5.044
! N(E_F) in states/eV/cell: 4.19
! Offset from the most stable computed form in meV/atom: 302.4
! Space group: No. 187

(26)
! MgCoMoOs PBE-GGA optimized geometry; values from VASP
&SYSTEM
  ibrav = 0, nat = 4, ntyp = 4
/
ATOMIC_SPECIES
Mg 24.30 Mg.upf
Co 58.93 Co.upf
Mo 95.94 Mo.upf
Os 190.23 Os.upf
CELL_PARAMETERS angstrom
0.000 3.057 3.057
3.057 0.000 3.057
3.057 3.057 0.000
ATOMIC_POSITIONS crystal
Mg 0.000 0.000 0.000
Co 0.750 0.750 0.750
Mo 0.500 0.500 0.500
Os 0.250 0.250 0.250
! ΔH_f (0 K) in kcal/mol of atoms: 2.0
! Electronic total energy in eV per atom: -7.605
! N(E_F) in states/eV/cell: 2.16
! Space group: No. 216